1.
# GGA-PBE CaCoB2Ru, relaxed
# - energy of formation (kJ per mole of atoms) = -34
# - ρ (g/cm³) = 5.187
# - total DFT energy (no corrections) (eV/atom) = -6.702
data_CaCoB2Ru
_chemical_formula_sum 'Ca2 Co2 B4 Ru2'
_symmetry_space_group_name_H-M 'P 1'
_symmetry_Int_Tables_number 1
_symmetry_space_group_name_Hall 'P 1'
_cell_length_a 3.7842
_cell_length_b 3.7842
_cell_length_c 9.9123
_cell_angle_alpha 90.00
_cell_angle_beta 90.00
_cell_angle_gamma 90.00
loop_
_atom_site_label
_atom_site_fract_x
_atom_site_fract_y
_atom_site_fract_z
Ca1 0.0000 0.0000 0.0000
Ca2 0.5000 0.5000 0.5000
Co1 0.0000 0.5000 0.2500
Co2 0.5000 0.0000 0.7500
B1 0.0000 0.0000 0.3270
B2 0.0000 0.0000 0.6730
B3 0.5000 0.5000 0.1730
B4 0.5000 0.5000 0.8270
Ru1 0.0000 0.5000 0.7500
Ru2 0.5000 0.0000 0.2500


2.
# GGA-PBE Ca2CoBSe, relaxed
# - offset from the most stable computed form (eV/atom) = 0.0000
# - energy relative to the elements, uncorrected (eV per atom) = -0.44
# - ρ (g/cm³) = 3.712
# - total DFT energy (no corrections) (eV/atom) = -4.690
data_Ca2CoBSe
_chemical_formula_sum 'Ca2 Co1 B1 Se1'
_symmetry_space_group_name_H-M 'P 1'
_symmetry_Int_Tables_number 1
_symmetry_space_group_name_Hall 'P 1'
_cell_length_a 5.2051
_cell_length_b 5.2051
_cell_length_c 3.7785
_cell_angle_alpha 90.00
_cell_angle_beta 90.00
_cell_angle_gamma 90.00
loop_
_atom_site_label
_atom_site_fract_x
_atom_site_fract_y
_atom_site_fract_z
Ca1 0.0000 0.5000 0.0000
Ca2 0.5000 0.0000 0.0000
Co1 0.0000 0.0000 0.5000
B1 0.0000 0.0000 0.0000
Se1 0.5000 0.5000 0.5000


3.
# GGA-PBE CaCoBSe2, relaxed
# - energy relative to the elements, uncorrected (eV per atom) = 1.56
# - ρ (g/cm³) = 2.947
# - total DFT energy (no corrections) (eV/atom) = -2.994
data_CaCoBSe2
_chemical_formula_sum 'Ca1 Co1 B1 Se2'
_symmetry_space_group_name_H-M 'P 1'
_symmetry_Int_Tables_number 1
_symmetry_space_group_name_Hall 'P 1'
_cell_length_a 5.3930
_cell_length_b 5.3930
_cell_length_c 5.1873
_cell_angle_alpha 90.00
_cell_angle_beta 90.00
_cell_angle_gamma 90.00
loop_
_atom_site_label
_atom_site_fract_x
_atom_site_fract_y
_atom_site_fract_z
Ca1 0.0000 0.0000 0.0000
Co1 0.0000 0.0000 0.5000
B1 0.5000 0.5000 0.5000
Se1 0.0000 0.5000 0.0000
Se2 0.5000 0.0000 0.0000


4.
# GGA-PBE Ca2CoBSe, relaxed
# - offset from the most stable computed form (eV/atom) = 0.8699
# - energy relative to the elements, uncorrected (eV per atom) = 0.43
# - ρ (g/cm³) = 3.337
# - total DFT energy (no corrections) (eV/atom) = -3.820
data_Ca2CoBSe
_chemical_formula_sum 'Ca2 Co1 B1 Se1'
_symmetry_space_group_name_H-M 'P 1'
_symmetry_Int_Tables_number 1
_symmetry_space_group_name_Hall 'P 1'
_cell_length_a 5.2227
_cell_length_b 5.2227
_cell_length_c 4.1753
_cell_angle_alpha 90.00
_cell_angle_beta 90.00
_cell_angle_gamma 90.00
loop_
_atom_site_label
_atom_site_fract_x
_atom_site_fract_y
_atom_site_fract_z
Ca1 0.0000 0.5000 0.0000
Ca2 0.5000 0.0000 0.0000
Co1 0.0000 0.0000 0.5000
B1 0.5000 0.5000 0.0000
Se1 0.5000 0.5000 0.5000


- Which value of ρ does entry 1 give?
  5.187 g/cm³


Repeat the third record exactly.
# GGA-PBE CaCoBSe2, relaxed
# - energy relative to the elements, uncorrected (eV per atom) = 1.56
# - ρ (g/cm³) = 2.947
# - total DFT energy (no corrections) (eV/atom) = -2.994
data_CaCoBSe2
_chemical_formula_sum 'Ca1 Co1 B1 Se2'
_symmetry_space_group_name_H-M 'P 1'
_symmetry_Int_Tables_number 1
_symmetry_space_group_name_Hall 'P 1'
_cell_length_a 5.3930
_cell_length_b 5.3930
_cell_length_c 5.1873
_cell_angle_alpha 90.00
_cell_angle_beta 90.00
_cell_angle_gamma 90.00
loop_
_atom_site_label
_atom_site_fract_x
_atom_site_fract_y
_atom_site_fract_z
Ca1 0.0000 0.0000 0.0000
Co1 0.0000 0.0000 0.5000
B1 0.5000 0.5000 0.5000
Se1 0.0000 0.5000 0.0000
Se2 0.5000 0.0000 0.0000


- What is the ρ in the first record?
  5.187 g/cm³


- Among the records above, which one has the lowest ρ?
  CaCoBSe2